[1]
Li2NdDy2Ge2 after structural relaxation. Source: the Alexandria database, functional GGA-PBE.

The structure in extended XYZ format:
```
7
Lattice="-3.811 -2.362 -0.510 -0.268 -4.218 1.579 -4.365 0.953 8.248" Properties=species:S:1:pos:R:3 pbc="T T T"
Ge -6.422 -4.127 7.223
Ge -2.021 -1.500 2.095
Li -5.076 -1.919 6.903
Li -3.367 -3.708 2.415
Dy -5.234 -5.370 4.103
Dy -3.209 -0.257 5.214
Nd 0.000 0.000 0.000
```

Spin magnetization (μB per formula unit): 0.0
Energy (eV per atom): -4.350
ρ (g/cm³): 6.57

---

[2]
Na2CdPt after structural relaxation. Source: the Alexandria database, functional GGA-PBE.

The structure in extended XYZ format:
```
4
Lattice="4.786 0.000 0.000 0.000 4.109 0.000 0.000 0.000 4.109" Properties=species:S:1:pos:R:3 pbc="T T T"
Na 0.000 2.054 0.000
Na 0.000 0.000 2.054
Cd 2.393 2.054 2.054
Pt 2.393 0.000 0.000
```

Spin magnetization (μB per formula unit): 0.0
Energy (eV per atom): -2.534
ρ (g/cm³): 7.26

---

[3]
HoPu3U4As8 after structural relaxation. Source: the Alexandria database, functional GGA-PBE.

The structure in extended XYZ format:
```
16
Lattice="8.149 0.000 0.000 0.000 8.262 0.082 -4.075 -4.066 5.765" Properties=species:S:1:pos:R:3 pbc="T T T"
As 0.000 4.186 2.950
As 6.119 6.212 0.085
As 0.000 0.010 2.886
As 4.075 0.010 2.898
As -2.045 -2.016 5.762
As 2.045 -2.016 5.762
As 4.075 4.186 2.961
As 2.030 6.212 0.085
Ho 0.000 4.131 0.041
U -2.037 -2.033 2.882
U 2.037 -2.033 2.882
U 4.075 0.000 0.000
U 0.000 0.000 0.000
Pu 2.037 2.098 2.924
Pu 4.075 4.131 0.041
Pu -2.037 2.098 2.924
```

Spin magnetization (μB per formula unit): 3.5
Energy (eV per atom): -9.049
ρ (g/cm³): 10.40

---

[4]
Y4Ga12Cu after structural relaxation. Source: the Alexandria database, functional GGA-PBE.

The structure in extended XYZ format:
```
17
Lattice="-0.718 0.454 -7.441 -0.637 -7.149 2.138 -5.362 4.074 3.278" Properties=species:S:1:pos:R:3 pbc="T T T"
Ga -4.540 1.495 -0.727
Ga -4.246 -2.177 3.833
Ga -2.197 -2.216 -3.692
Ga -2.177 -4.117 -1.297
Ga -1.777 1.323 -1.217
Ga -3.378 0.590 -3.407
Ga -0.396 -1.957 -1.550
Ga -1.753 -0.899 1.583
Ga -3.338 -3.212 1.382
Ga -4.519 -0.406 1.667
Ga -4.303 3.204 -2.946
Ga -0.959 -4.739 -3.753
Y -0.359 0.227 -3.721
Y -0.319 -3.575 1.069
Y -2.681 2.037 1.639
Y -3.358 -1.311 -1.012
Cu 0.000 0.000 0.000
```

Spin magnetization (μB per formula unit): 0.0
Energy (eV per atom): -4.420
ρ (g/cm³): 6.45

---

[5]
Ta2SnAu after structural relaxation. Source: the Alexandria database, functional GGA-PBE.

The structure in extended XYZ format:
```
8
Lattice="-5.821 4.579 -1.487 -3.380 -2.226 6.378 -3.300 3.294 3.874" Properties=species:S:1:pos:R:3 pbc="T T T"
Ta -3.605 -0.043 4.784
Ta -4.946 3.455 0.821
Ta -10.561 4.506 7.251
Ta -5.890 3.376 4.673
Sn -5.640 1.122 6.349
Sn -4.601 1.176 2.445
Au -6.861 4.524 2.416
Au 0.000 0.000 0.000
```

Spin magnetization (μB per formula unit): 0.0
Energy (eV per atom): -7.329
ρ (g/cm³): 13.76

---

[6]
Er3Be2Ge4 after structural relaxation. Source: the Alexandria database, functional GGA-PBE.

The structure in extended XYZ format:
```
9
Lattice="3.965 0.000 0.000 -1.982 5.181 -1.132 0.000 0.235 7.947" Properties=species:S:1:pos:R:3 pbc="T T T"
Ge 0.000 3.209 6.750
Ge 1.982 2.207 0.065
Ge 1.982 4.656 3.932
Ge 0.000 0.761 2.884
Er 0.000 0.000 0.000
Er 0.000 3.569 1.888
Er 1.982 1.848 4.927
Be 0.000 4.236 4.817
Be 1.982 1.181 1.998
```

Spin magnetization (μB per formula unit): 0.0
Energy (eV per atom): -5.032
ρ (g/cm³): 8.19

---

[7]
Tl2CdPt after structural relaxation. Source: the Alexandria database, functional GGA-PBE.

The structure in extended XYZ format:
```
4
Lattice="7.670 0.007 -0.010 7.043 3.039 -0.010 1.436 0.297 4.443" Properties=species:S:1:pos:R:3 pbc="T T T"
Tl 9.019 1.867 1.895
Tl 13.768 2.850 0.297
Cd 12.111 2.507 3.317
Pt 4.037 0.836 1.106
```

Spin magnetization (μB per formula unit): 0.0
Energy (eV per atom): -2.999
ρ (g/cm³): 11.51

---

[8]
BaH2O2 after structural relaxation. Source: the Alexandria database, functional GGA-PBE.

The structure in extended XYZ format:
```
100
Lattice="-2.778 -0.288 6.511 8.162 -7.051 3.171 9.542 13.139 4.654" Properties=species:S:1:pos:R:3 pbc="T T T"
O -0.087 -0.132 2.141
O 6.861 -2.302 7.759
O 6.300 8.262 3.372
O 6.358 -3.910 5.211
O 8.065 8.101 6.576
O 2.813 -0.329 2.369
O 5.705 1.183 6.659
O 9.221 4.616 7.676
O 3.722 -1.547 5.692
O 8.283 10.992 4.339
O 15.013 5.931 12.194
O 6.643 -5.193 9.997
O 3.612 3.582 6.808
O 12.113 6.128 11.966
O 5.340 3.151 3.602
O 4.179 -3.638 3.292
O 11.203 7.346 8.643
O 8.333 6.425 10.757
O 8.885 -0.430 6.444
O 6.041 6.229 7.892
O 6.470 3.550 8.957
O 12.758 4.639 6.729
O 8.568 9.709 9.124
O 10.520 9.650 6.169
O 1.694 2.814 3.909
O 2.168 1.160 7.607
O 10.747 9.438 11.043
O 4.406 -3.851 8.166
O 6.593 -0.626 3.579
O 13.232 2.985 10.426
O 8.456 2.250 5.378
O 10.737 0.043 10.108
O 4.189 5.756 4.227
O 0.811 -0.275 5.441
O 7.719 5.793 4.803
O 7.207 0.006 9.532
O 11.313 2.217 7.528
O 14.115 6.074 8.894
O 8.626 -2.463 10.964
O 9.586 2.648 10.734
Ba 12.507 7.742 6.300
Ba 6.801 -5.682 3.239
Ba 13.171 8.056 10.420
Ba 9.876 -2.020 8.599
Ba 10.073 4.391 5.113
Ba 3.528 1.089 5.018
Ba 5.050 7.819 5.736
Ba 11.398 4.710 9.317
Ba 6.170 3.823 6.069
Ba 7.484 11.170 6.923
Ba 1.755 -2.257 3.916
Ba 8.755 1.976 8.266
Ba 11.217 0.397 5.392
Ba 8.124 11.481 11.097
Ba 3.709 5.402 8.943
Ba 2.418 -1.943 8.035
Ba 6.209 8.120 10.328
Ba 8.717 -2.321 4.007
Ba 4.852 1.408 9.222
Ba 7.442 -5.371 7.412
H 9.897 3.113 11.542
H 7.758 6.473 5.515
H 13.789 5.641 8.071
H 11.832 2.946 7.117
H 9.982 9.255 10.447
H 4.308 4.810 3.975
H 11.340 1.516 12.362
H 8.386 1.284 5.567
H 11.565 5.410 12.356
H 8.466 5.167 7.950
H 4.565 -1.977 5.462
H 13.514 4.038 6.875
H 10.361 7.776 8.874
H 5.029 2.686 2.793
H 10.618 0.989 10.361
H 6.433 -3.241 5.928
H 8.713 7.489 6.976
H 2.049 2.877 3.005
H 1.690 1.674 1.049
H 4.944 -3.456 3.888
H 6.212 -1.689 7.360
H 8.101 -0.944 6.742
H 9.715 9.167 6.469
H 3.093 2.853 7.218
H 7.167 -0.674 8.820
H 8.493 9.040 8.407
H 12.877 2.922 11.331
H 5.210 -3.368 7.866
H 1.412 1.761 7.461
H 3.585 4.283 1.973
H 6.460 0.632 6.386
H 6.824 6.743 7.594
H 0.866 0.070 2.296
H 13.235 4.125 13.286
H 6.185 -0.643 4.462
H 6.540 4.515 8.769
H 1.136 0.158 6.264
H 14.060 5.729 12.040
H 8.741 6.442 9.873
H 3.360 0.389 1.979
```

Spin magnetization (μB per formula unit): 0.0
Energy (eV per atom): -5.488
ρ (g/cm³): 4.23

---

[9]
Ta2ZnBr after structural relaxation. Source: the Alexandria database, functional GGA-PBE.

The structure in extended XYZ format:
```
4
Lattice="5.173 -0.005 0.004 4.297 2.881 0.004 1.298 0.394 4.745" Properties=species:S:1:pos:R:3 pbc="T T T"
Br 2.730 0.829 1.051
Ta 8.037 2.441 3.306
Ta 9.453 2.872 0.162
Zn 5.403 1.641 2.620
```

Spin magnetization (μB per formula unit): 0.0
Formation energy without anion corrections (meV per atom): 499
ρ (g/cm³): 11.89

---

[10]
Mn3Ge5Br16 after structural relaxation. Source: the Alexandria database, functional GGA-PBE.

The structure in extended XYZ format:
```
24
Lattice="-2.270 -2.306 7.452 4.663 -4.961 4.433 6.344 10.807 5.061" Properties=species:S:1:pos:R:3 pbc="T T T"
Br 4.456 -1.879 11.884
Br 2.087 0.775 9.583
Br 3.303 -0.887 3.212
Br 6.136 8.646 6.485
Br 5.654 -0.591 8.029
Br 6.634 0.040 15.197
Br 2.233 -1.730 6.648
Br 4.389 2.243 12.983
Br 3.483 -5.323 12.679
Br 7.569 1.025 11.598
Br 5.349 3.297 9.382
Br 3.316 1.777 6.052
Br 8.428 5.897 8.706
Br -0.055 0.399 4.675
Br 4.869 7.260 10.256
Br 7.327 4.756 12.639
Mn 1.065 0.804 7.116
Mn 6.980 2.417 13.899
Mn 4.571 -0.539 5.590
Ge 4.625 5.026 11.671
Ge 8.192 3.660 10.118
Ge 2.213 2.059 3.270
Ge 1.123 -1.903 4.252
Ge 5.088 1.053 10.757
```

Spin magnetization (μB per formula unit): 5.0
Formation energy without anion corrections (meV per atom): -634
ρ (g/cm³): 3.92

---

[11]
K5CdAg6 after structural relaxation. Source: the Alexandria database, functional GGA-PBE.

The structure in extended XYZ format:
```
12
Lattice="9.872 -0.963 1.164 1.845 5.950 3.572 0.001 0.033 7.163" Properties=species:S:1:pos:R:3 pbc="T T T"
K 6.436 4.367 6.168
K 0.617 2.000 3.569
K 5.858 2.494 2.368
K 5.282 0.654 5.730
K 1.229 3.984 7.166
Ag 7.689 -0.272 2.844
Ag 3.595 3.879 4.414
Ag 9.058 4.327 3.919
Ag 2.659 0.660 0.817
Ag 4.029 5.292 9.054
Ag 8.123 1.142 7.484
Cd 0.000 0.000 0.000
```

Spin magnetization (μB per formula unit): 0.0
Energy (eV per atom): -1.816
ρ (g/cm³): 3.67

---

[12]
CaBeS2 after structural relaxation. Source: the Alexandria database, functional GGA-PBE.

The structure in extended XYZ format:
```
8
Lattice="6.275 0.000 0.000 0.000 6.275 0.000 3.137 3.137 3.893" Properties=species:S:1:pos:R:3 pbc="T T T"
S 4.185 1.569 0.973
S 4.706 5.227 2.920
S 2.090 4.706 0.973
S 7.843 7.322 2.920
Ca 0.000 0.000 0.000
Ca 6.275 3.137 1.947
Be 3.137 6.275 1.947
Be 3.137 3.137 0.000
```

Spin magnetization (μB per formula unit): 0.0
Formation energy without anion corrections (meV per atom): -1434
ρ (g/cm³): 2.45

---

What is the formula in the fifth record?
Ta2SnAu